First-principles (GGA-PBE) data for a relaxed structure of Nd3Dy8Tl, as listed in Alexandria via LeMat-Bulk.

Properties
final energy	-3.95	eV/atom

extended XYZ file:
```
12
Lattice="-0.289 -3.128 -7.727 7.539 1.307 3.323 -2.646 -4.895 6.214" Properties=species:S:1:pos:R:3 pbc="T T T"
Nd 4.848 -1.808 0.182
Nd -0.245 -4.909 1.627
Nd 2.446 -1.794 4.768
Dy 1.163 -2.538 -1.350
Dy 3.589 -4.287 3.446
Dy 4.895 -0.204 3.908
Dy -0.150 -3.276 5.340
Dy 1.789 -2.158 1.672
Dy 0.407 -2.793 -4.556
Dy 2.360 -3.463 7.480
Dy 4.940 -1.892 6.748
Tl 0.000 0.000 0.000
```